(1)
Below is a relaxed Cs2IF crystal, with properties calculated at the GGA-PBE level. Values from VASP.

Formation energy without anion corrections: -2.100 eV/atom
Raw total energy: -13.5 eV per formula unit

```
&SYSTEM
  ibrav = 0, nat = 8, ntyp = 3
/
ATOMIC_SPECIES
Cs 132.91 Cs.upf
I 126.90 I.upf
F 19.00 F.upf
CELL_PARAMETERS angstrom
3.984 -3.984 0.000
3.984 3.984 0.000
-0.003 0.000 11.152
ATOMIC_POSITIONS angstrom
Cs 1.994 0.000 3.759
Cs 3.984 1.992 0.000
Cs 3.984 -1.992 0.000
Cs 5.971 0.000 7.392
I 1.987 0.000 7.764
I 5.978 0.000 3.387
F 1.993 0.000 0.960
F 5.972 0.000 10.192
```

=====

(2)
Below is a relaxed Cs5I4F crystal, with properties calculated at the GGA-PBE level. Values from VASP.

Formation energy without anion corrections: -1.729 eV/atom
Raw total energy: -29.6 eV per formula unit

```
&SYSTEM
  ibrav = 0, nat = 10, ntyp = 3
/
ATOMIC_SPECIES
Cs 132.91 Cs.upf
I 126.90 I.upf
F 19.00 F.upf
CELL_PARAMETERS angstrom
-5.888 5.888 3.895
5.888 -5.888 3.895
5.888 5.888 -3.895
ATOMIC_POSITIONS angstrom
Cs 0.000 0.000 0.000
Cs 4.854 2.806 -0.630
Cs 3.082 -1.033 3.265
Cs 2.806 6.921 -0.630
Cs 1.033 3.082 3.265
I 8.223 1.041 -0.658
I 1.041 3.552 -0.658
I 4.847 2.335 3.237
I -2.335 4.847 3.237
F 0.000 0.000 2.837
```

=====

(3)
Below is a relaxed Cs2IF crystal, with properties calculated at the GGA-PBE level. Values from VASP.

Formation energy without anion corrections: -1.928 eV/atom
Raw total energy: -12.8 eV per formula unit

```
&SYSTEM
  ibrav = 0, nat = 4, ntyp = 3
/
ATOMIC_SPECIES
Cs 132.91 Cs.upf
I 126.90 I.upf
F 19.00 F.upf
CELL_PARAMETERS angstrom
4.168 0.000 0.000
0.000 4.168 0.000
0.000 0.000 8.692
ATOMIC_POSITIONS angstrom
Cs 0.000 0.000 1.841
Cs 0.000 0.000 6.851
I 2.084 2.084 4.346
F 2.084 2.084 0.000
```

=====

(4)
Below is a relaxed CsIF6 crystal, with properties calculated at the GGA-PBE level. Values from VASP.

Formation energy without anion corrections: -1.971 eV/atom
Raw total energy: -29.4 eV per formula unit

```
&SYSTEM
  ibrav = 0, nat = 8, ntyp = 3
/
ATOMIC_SPECIES
Cs 132.91 Cs.upf
I 126.90 I.upf
F 19.00 F.upf
CELL_PARAMETERS angstrom
2.985 1.723 5.522
-2.985 1.723 5.522
0.000 -3.446 5.522
ATOMIC_POSITIONS angstrom
Cs 0.000 0.000 0.000
I 0.000 0.000 8.283
F -1.414 -0.817 7.109
F 0.000 -1.633 9.457
F -1.414 0.817 9.457
F 1.414 -0.817 7.109
F 0.000 1.633 7.109
F 1.414 0.817 9.457
```

=====

(5)
Below is a relaxed Cs2IF7 crystal, with properties calculated at the GGA-PBE level. Values from VASP.

Formation energy without anion corrections: -2.151 eV/atom
Raw total energy: -37.9 eV per formula unit

```
&SYSTEM
  ibrav = 0, nat = 20, ntyp = 3
/
ATOMIC_SPECIES
Cs 132.91 Cs.upf
I 126.90 I.upf
F 19.00 F.upf
CELL_PARAMETERS angstrom
7.642 -3.660 0.000
7.642 3.660 0.000
-6.873 0.000 7.865
ATOMIC_POSITIONS angstrom
Cs 0.893 0.443 2.067
Cs -2.543 -0.443 6.000
Cs 10.954 0.443 1.865
Cs 7.518 -0.443 5.797
I 5.924 0.577 1.966
I 2.487 -0.577 5.899
F 5.924 2.625 1.966
F 3.945 1.000 1.642
F 1.797 1.141 4.817
F 6.377 1.037 0.027
F 5.470 1.037 3.905
F 3.177 1.141 6.980
F 0.509 -1.000 5.574
F 7.902 1.000 2.291
F 5.233 -1.141 0.885
F 2.941 -1.037 3.960
F 2.034 -1.037 7.837
F 6.614 -1.141 3.048
F 4.466 -1.000 6.223
F 2.487 -2.625 5.899
```

=====

(6)
Below is a relaxed CsI3F crystal, with properties calculated at the GGA-PBE level. Values from VASP.

Formation energy without anion corrections: -0.583 eV/atom
Raw total energy: -10.3 eV per formula unit

```
&SYSTEM
  ibrav = 0, nat = 5, ntyp = 3
/
ATOMIC_SPECIES
Cs 132.91 Cs.upf
I 126.90 I.upf
F 19.00 F.upf
CELL_PARAMETERS angstrom
5.621 0.000 0.000
0.000 5.621 0.000
0.000 0.000 5.621
ATOMIC_POSITIONS angstrom
Cs 0.000 0.000 0.000
I 0.000 2.810 2.810
I 2.810 0.000 2.810
I 2.810 2.810 0.000
F 2.810 2.810 2.810
```